The following is a DFT calculation (GGA-PBE) of a geometry-optimized GdThOsAu structure.

As for the density of states at the Fermi level: 2.9 states/eV/f.u. The formation energy from the elements comes out at -395 meV/atom. Its total energy is -9.397 eV per atom.

a b c (Å): 7.1825 7.1825 7.1825
angles (deg): 90.00 90.00 90.00
Last column: nearest neighbours and their distance in Å.
Space group F-43m (No. 216)
Inequivalent atoms, fractional coordinates:
Gd  0.0000  0.0000  0.0000 x4  4 Os 3.11, 4 Au 3.11
Th  0.0000  0.0000  0.5000 x4  4 Os 3.11, 4 Au 3.11
Os  0.2500  0.2500  0.2500 x4  4 Gd 3.11, 4 Th 3.11
Au  0.2500  0.2500  0.7500 x4  4 Gd 3.11, 4 Th 3.11